(1)
DFT (PBE-GGA) results for an optimized crystal structure of TbNd5Er2Tm.

It has space group Cmc2_1 (No. 36), with a = 5.623 Å, b = 20.407 Å, c = 10.715 Å, α = 90.00°, β = 90.00° and γ = 90.00°. The distinct sites, in fractional coordinates, are Tb at (0.000, 0.199, 0.000), Nd at (0.000, 0.015, 0.006), Nd at (0.000, 0.280, 0.301), Nd at (0.000, 0.297, 0.696), Nd at (0.000, 0.385, 0.010), Nd at (0.000, 0.484, 0.734), Er at (0.000, 0.112, 0.729), Er at (0.000, 0.114, 0.297) and Tm at (0.000, 0.408, 0.454).

For the total DFT energy (no corrections), the calculation gives -4.531 eV per atom. The volume is 1229 Å³/cell. The calculation puts the spin magnetization at 0.0 μB/f.u. Its density of states at the Fermi level is 1.5993 states/eV per atom. The formation enthalpy at 0 K is 143 meV per atom.

***

(2)
DFT (PBE-GGA) results for an optimized crystal structure of Li5Ni3Br12.

It has space group Ia-3d (No. 230), with a = 16.196 Å, b = 16.196 Å, c = 16.196 Å, α = 90.00°, β = 90.00° and γ = 90.00°. The distinct sites, in fractional coordinates, are Li at (0.000, 0.000, 0.000), Li at (0.000, 0.250, 0.375), Ni at (0.000, 0.250, 0.125) and Br at (0.023, 0.048, 0.339).

For the total DFT energy (no corrections), the calculation gives -3.123 eV per atom. The volume is 4248 Å³/cell. For the uncorrected formation energy, the calculation gives -0.77 eV per atom. The calculation puts the spin magnetization at 1.1 μB/f.u. Its density of states at the Fermi level is 0.7357 states/eV per atom.

***

(3)
DFT (PBE-GGA) results for an optimized crystal structure of CrNi2AuC.

It has space group P4/mmm (No. 123), with a = 3.881 Å, b = 3.881 Å, c = 3.940 Å, α = 90.00°, β = 90.00° and γ = 90.00°. The distinct sites, in fractional coordinates, are Cr at (0.000, 0.000, 0.000), Ni at (0.000, 0.500, 0.500), Au at (0.500, 0.500, 0.000) and C at (0.000, 0.000, 0.500).

For the total DFT energy (no corrections), the calculation gives -6.630 eV per atom. The volume is 59 Å³/cell. The calculation puts the spin magnetization at 3.0 μB/f.u. Its density of states at the Fermi level is 0.7717 states/eV per atom. The formation enthalpy at 0 K is 108 meV per atom.

***

(4)
DFT (PBE-GGA) results for an optimized crystal structure of CsGaCuAs2.

It has space group Cmme (No. 67), with a = 6.937 Å, b = 12.385 Å, c = 6.653 Å, α = 90.00°, β = 90.00° and γ = 90.00°. The distinct sites, in fractional coordinates, are Cs at (0.000, 0.250, 0.235), Ga at (0.250, 0.000, 0.500), Cu at (0.000, 0.000, 0.000) and As at (0.000, 0.099, 0.704).

For the total DFT energy (no corrections), the calculation gives -3.649 eV per atom. The volume is 572 Å³/cell. The calculation puts the spin magnetization at 0.0 μB/f.u. Its density of states at the Fermi level is 0.3647 states/eV per atom. The formation enthalpy at 0 K is -194 meV per atom.

***

(5)
DFT (PBE-GGA) results for an optimized crystal structure of Fe2AgAs.

It has space group Imm2 (No. 44), with a = 3.081 Å, b = 4.374 Å, c = 8.705 Å, α = 90.00°, β = 90.00° and γ = 90.00°. The distinct sites, in fractional coordinates, are Fe at (0.000, 0.000, 0.000), Fe at (0.000, 0.500, 0.275), Ag at (0.000, 0.500, 0.776) and As at (0.000, 0.000, 0.547).

For the total DFT energy (no corrections), the calculation gives -5.811 eV per atom. The volume is 117 Å³/cell. The calculation puts the spin magnetization at 5.1 μB/f.u. Its density of states at the Fermi level is 0.8175 states/eV per atom. The formation enthalpy at 0 K is 295 meV per atom.